# 1
Here is a relaxed Al2MoAu crystal from Alexandria via LeMat-Bulk. Energies are from GGA-PBE.

Cell and atoms, written as POSCAR:
```
Al2MoAu
1.0
5.2619 0.0010 0.0030
-2.5617 4.5662 0.0030
0.1386 0.8686 2.6839
Al Au Mo
2 1 1
Direct
0.0000 0.0000 0.0000 Al
0.5000 0.0000 0.5000 Al
0.0000 0.5000 0.5000 Au
0.5000 0.5000 0.0000 Mo
```

Properties
- Excess energy over the best structure of this formula in the dataset: 0.651 eV/f.u.
- VASP energy: -5.54 eV per atom
- SG: C2/m (12)

---

# 2
Here is a relaxed Al2Mo2Au crystal from Alexandria via LeMat-Bulk. Energies are from GGA-PBE.

Cell and atoms, written as POSCAR:
```
Al2Mo2Au
1.0
-1.6652 3.1714 0.4253
-1.7802 -0.5199 -3.0939
-6.7910 -1.7969 2.1066
Mo Al Au
2 2 1
Direct
0.2500 0.7500 0.5000 Mo
0.7500 0.2500 0.5000 Mo
0.4034 0.4034 0.1933 Al
0.5966 0.5966 0.8067 Al
0.0000 0.0000 0.0000 Au
```

Properties
- Excess energy over the best structure of this formula in the dataset: 1.552 eV/f.u.
- VASP energy: -6.16 eV per atom
- SG: I4/mmm (139)

---

# 3
Here is a relaxed Al2MoAu2 crystal from Alexandria via LeMat-Bulk. Energies are from GGA-PBE.

Cell and atoms, written as POSCAR:
```
Al2MoAu2
1.0
-0.1654 -4.9685 -5.6692
7.0418 1.9222 -1.8900
1.0364 -2.0554 1.7711
Au Al Mo
4 4 2
Direct
0.6314 0.1314 0.0000 Au
0.8686 0.6314 0.0000 Au
0.1314 0.3686 0.0000 Au
0.3686 0.8686 0.0000 Au
0.6710 0.8290 0.5000 Al
0.8290 0.3290 0.5000 Al
0.3290 0.1710 0.5000 Al
0.1710 0.6710 0.5000 Al
0.0000 0.0000 0.0000 Mo
0.5000 0.5000 0.0000 Mo
```

Properties
- Excess energy over the best structure of this formula in the dataset: 0.382 eV/f.u.
- VASP energy: -4.99 eV per atom
- SG: P4/mbm (127)

---

# 4
Here is a relaxed Al2MoAu crystal from Alexandria via LeMat-Bulk. Energies are from GGA-PBE.

Cell and atoms, written as POSCAR:
```
Al2MoAu
1.0
2.7783 0.0038 0.0000
-0.0043 2.7783 0.0000
0.0000 0.0000 8.3814
Al Au Mo
2 1 1
Direct
0.0000 0.0000 0.9973 Al
0.5000 0.5000 0.2478 Al
0.0000 0.0000 0.4959 Au
0.5000 0.5000 0.7590 Mo
```

Properties
- Excess energy over the best structure of this formula in the dataset: 1.113 eV/f.u.
- VASP energy: -5.42 eV per atom
- SG: P4mm (99)

---

# 5
Here is a relaxed Al2MoAu crystal from Alexandria via LeMat-Bulk. Energies are from GGA-PBE.

Cell and atoms, written as POSCAR:
```
Al2MoAu
1.0
-4.5793 -1.7995 1.5388
-2.5743 -3.3138 2.9946
-1.2282 2.1925 3.9720
Au Mo Al
1 1 2
Direct
0.4992 0.4992 0.5716 Au
0.2530 0.2530 0.1725 Mo
0.9977 0.9977 0.0723 Al
0.7501 0.7501 0.6837 Al
```

Properties
- Excess energy over the best structure of this formula in the dataset: 0.314 eV/f.u.
- VASP energy: -5.62 eV per atom
- SG: Cm (8)

---

# 6
Here is a relaxed Al2MoAu2 crystal from Alexandria via LeMat-Bulk. Energies are from GGA-PBE.

Cell and atoms, written as POSCAR:
```
Al2MoAu2
1.0
3.8939 0.0000 0.0000
0.0000 3.8939 0.0000
1.9469 1.9469 5.8945
Al Au Mo
2 2 1
Direct
0.2500 0.7500 0.5000 Al
0.7500 0.2500 0.5000 Al
0.6120 0.6120 0.7759 Au
0.3880 0.3880 0.2241 Au
0.0000 0.0000 0.0000 Mo
```

Properties
- Excess energy over the best structure of this formula in the dataset: 1.440 eV/f.u.
- VASP energy: -4.78 eV per atom
- SG: I4/mmm (139)

---

# 7
Here is a relaxed AlMo2Au crystal from Alexandria via LeMat-Bulk. Energies are from GGA-PBE.

Cell and atoms, written as POSCAR:
```
AlMo2Au
1.0
4.3592 0.0000 0.0000
0.0000 2.7742 0.0109
0.0000 2.2824 5.3106
Mo Au Al
2 1 1
Direct
0.0000 0.0205 0.0181 Mo
0.0000 0.4795 0.4819 Mo
0.5000 0.7500 0.7500 Au
0.5000 0.2500 0.2500 Al
```

Properties
- VASP energy: -7.18 eV per atom
- SG: P2/m (10)

---

# 8
Here is a relaxed Al2MoAu crystal from Alexandria via LeMat-Bulk. Energies are from GGA-PBE.

Cell and atoms, written as POSCAR:
```
Al2MoAu
1.0
-0.6441 -2.7046 -4.4439
2.4827 -4.5734 -0.6308
-2.9732 2.3761 3.6045
Au Mo Al
1 1 2
Direct
0.5000 0.5000 0.0000 Au
0.2500 0.7500 0.5000 Mo
0.7501 0.2501 0.5000 Al
0.9999 0.9999 0.0000 Al
```

Properties
- Excess energy over the best structure of this formula in the dataset: 0.301 eV/f.u.
- VASP energy: -5.62 eV per atom
- SG: I-4m2 (119)

---

# 9
Here is a relaxed AlMo2Au crystal from Alexandria via LeMat-Bulk. Energies are from GGA-PBE.

Cell and atoms, written as POSCAR:
```
AlMo2Au
1.0
-2.3120 4.2352 1.9164
-3.1386 3.8646 -1.4728
-3.9021 -0.6251 1.0200
Au Mo Al
1 2 1
Direct
0.2500 0.2500 0.2500 Au
0.4956 0.4956 0.5046 Mo
0.0044 0.0044 0.9954 Mo
0.7500 0.7500 0.7500 Al
```

Properties
- VASP energy: -7.21 eV per atom
- SG: Immm (71)

---

# 10
Here is a relaxed AlMo2Au crystal from Alexandria via LeMat-Bulk. Energies are from GGA-PBE.

Cell and atoms, written as POSCAR:
```
AlMo2Au
1.0
-2.6137 -3.8406 1.2435
3.4949 -2.8942 -1.5930
1.1754 0.0220 2.5387
Al Mo Au
1 2 1
Direct
0.5000 0.0000 0.5000 Al
0.0000 0.0000 0.0000 Mo
0.5000 0.5000 0.0000 Mo
0.0000 0.5000 0.5000 Au
```

Properties
- VASP energy: -6.97 eV per atom
- SG: P4/mmm (123)

---

# 11
Here is a relaxed Al2MoAu crystal from Alexandria via LeMat-Bulk. Energies are from GGA-PBE.

Cell and atoms, written as POSCAR:
```
Al2MoAu
1.0
-4.1480 -0.6675 0.3837
-0.2879 -0.6053 -4.1653
0.5896 -3.4028 0.4537
Al Mo Au
2 1 1
Direct
0.5000 0.5000 0.0000 Al
0.0000 0.0000 0.0000 Al
0.0000 0.5000 0.5000 Mo
0.5000 0.0000 0.5000 Au
```

Properties
- Excess energy over the best structure of this formula in the dataset: 0.000 eV/f.u.
- VASP energy: -5.70 eV per atom
- SG: P4/mmm (123)

---

# 12
Here is a relaxed AlMo2Au crystal from Alexandria via LeMat-Bulk. Energies are from GGA-PBE.

Cell and atoms, written as POSCAR:
```
AlMo2Au
1.0
-2.6585 0.0175 -0.6158
0.4697 -1.7184 -2.0673
-1.2554 -6.6360 5.2310
Mo Al Au
2 1 1
Direct
0.0000 0.0000 0.4872 Mo
0.0000 0.0000 0.0128 Mo
0.5000 0.5000 0.2500 Al
0.5000 0.5000 0.7500 Au
```

Properties
- VASP energy: -7.13 eV per atom
- SG: P4/mmm (123)